Entry 1:
{"formula": "Ti4Ni2Pd", "functional": "PBE-GGA", "state": "optimized geometry", "lattice_angstrom": [[-5.9423, -1.0933, -2.6119], [0.8473, -4.3250, 4.8892], [0.6603, 6.0332, 2.5480]], "species": ["Ti", "Ti", "Ti", "Ti", "Ti", "Ti", "Ti", "Ti", "Ni", "Ni", "Ni", "Ni", "Pd", "Pd"], "frac_coords": [[0.1602, 0.8927, 0.3931], [0.6069, 0.7670, 0.4996], [0.0175, 0.6073, 0.7504], [0.2496, 0.2670, 0.8569], [0.5898, 0.7330, 0.9825], [0.7325, 0.2330, 0.8398], [0.5004, 0.1073, 0.2675], [0.1431, 0.3927, 0.4102], [0.8750, 0.0833, 0.4583], [0.5417, 0.4167, 0.6250], [0.3750, 0.9167, 0.7917], [0.2083, 0.5833, 0.1250], [0.0000, 0.0000, 0.0000], [0.7500, 0.5000, 0.2500]], "energy_ry_per_atom": -0.5196, "magmom_total_mub_per_fu": 0.0, "crystal_system": "tetragonal"}

Entry 2:
{"formula": "NdY2Pd9", "functional": "PBE-GGA", "state": "optimized geometry", "lattice_angstrom": [[-1.4034, 3.2065, 2.2518], [-1.7733, -2.6527, 2.6721], [10.4516, -0.1748, 6.7627]], "species": ["Nd", "Y", "Y", "Pd", "Pd", "Pd", "Pd", "Pd", "Pd", "Pd", "Pd", "Pd"], "frac_coords": [[0.0000, 0.0000, 0.0000], [0.0000, 0.0000, 0.3358], [0.0000, 0.0000, 0.6642], [0.5000, 0.5000, 0.0000], [0.5000, 0.5000, 0.3349], [0.5000, 0.5000, 0.6651], [0.5000, 0.0000, 0.1709], [0.5000, 0.0000, 0.5000], [0.5000, 0.0000, 0.8291], [0.0000, 0.5000, 0.1709], [0.0000, 0.5000, 0.5000], [0.0000, 0.5000, 0.8291]], "energy_ry_per_atom": -0.4545, "magmom_total_mub_per_fu": 0.0, "crystal_system": "tetragonal"}

Entry 3:
{"formula": "TaBe2W", "functional": "PBE-GGA", "state": "optimized geometry", "lattice_angstrom": [[8.5947, -0.0028, -0.0017], [8.1483, 2.7339, -0.0017], [8.1483, 1.3291, 2.3891]], "species": ["Be", "Be", "W", "Ta"], "frac_coords": [[0.0036, 0.0036, 0.0036], [0.4964, 0.4964, 0.4964], [0.7500, 0.7500, 0.7500], [0.2500, 0.2500, 0.2500]], "energy_ry_per_atom": -0.5615, "relative_energy_ev_per_atom": 0.649, "magmom_total_mub_per_fu": 0.0, "crystal_system": "trigonal"}

Entry 4:
{"formula": "Y3HgO", "functional": "PBE-GGA", "state": "optimized geometry", "lattice_angstrom": [[4.5476, 0.0000, 0.0000], [0.0000, 4.5476, 0.0000], [0.0000, 0.0000, 8.1984]], "species": ["Y", "Y", "Y", "Hg", "O"], "frac_coords": [[0.0000, 0.0000, 0.9934], [0.5000, 0.0000, 0.6434], [0.0000, 0.5000, 0.6434], [0.0000, 0.0000, 0.3643], [0.5000, 0.5000, 0.6193]], "raw_formation_energy_ev_per_atom": -0.70, "energy_ry_per_atom": -0.4142, "relative_energy_ev_per_atom": 0.697, "magmom_total_mub_per_fu": 1.0, "crystal_system": "tetragonal"}